First-principles (PBEsol) data for a relaxed CoIr2Os crystal, as listed in Alexandria via LeMat-Bulk.

Output
Calculated formation energy = 0.02 eV/atom
Energy above the most stable polymorph in this dataset = 0.000 eV/atom
DFT total energy = -39.52 eV/cell
Fermi-level density of states = 4.0 states/eV per cell

Cell and atoms, written as CIF:
```
data_CoIr2Os
_chemical_formula_sum 'Co1 Ir2 Os1'
_cell_length_a 2.677
_cell_length_b 3.724
_cell_length_c 5.281
_cell_angle_alpha 90.00
_cell_angle_beta 90.00
_cell_angle_gamma 90.00
_symmetry_space_group_name_H-M 'P m m m'
_symmetry_Int_Tables_number 47
_symmetry_space_group_name_Hall '-P 2 2'
loop_
_atom_site_label
_atom_site_type_symbol
_atom_site_fract_x
_atom_site_fract_y
_atom_site_fract_z
Co1 Co 0.000 0.000 0.000
Ir1 Ir 0.500 0.500 0.244
Os1 Os 0.000 0.000 0.500
```



First-principles (PBEsol) data for a relaxed MnReTc crystal, as listed in Alexandria via LeMat-Bulk.

Output
Calculated formation energy = 0.12 eV/atom
DFT total energy = -68.01 eV/cell
Fermi-level density of states = 6.7 states/eV per cell

Cell and atoms, written as CIF:
```
data_MnReTc
_chemical_formula_sum 'Mn2 Re2 Tc2'
_cell_length_a 2.659
_cell_length_b 3.727
_cell_length_c 7.971
_cell_angle_alpha 90.00
_cell_angle_beta 90.00
_cell_angle_gamma 90.00
_symmetry_space_group_name_H-M 'I m m 2'
_symmetry_Int_Tables_number 44
_symmetry_space_group_name_Hall 'I 2 -2'
loop_
_atom_site_label
_atom_site_type_symbol
_atom_site_fract_x
_atom_site_fract_y
_atom_site_fract_z
Mn1 Mn 0.000 0.000 0.000
Re1 Re 0.000 0.000 0.664
Tc1 Tc 0.000 0.000 0.338
```



First-principles (PBEsol) data for a relaxed MnTlPb3 crystal, as listed in Alexandria via LeMat-Bulk.

Output
Calculated formation energy = 0.30 eV/atom
DFT total energy = -22.90 eV/cell
Fermi-level density of states = 2.7 states/eV per cell

Cell and atoms, written as CIF:
```
data_MnTlPb3
_chemical_formula_sum 'Mn1 Tl1 Pb3'
_cell_length_a 5.167
_cell_length_b 5.167
_cell_length_c 5.167
_cell_angle_alpha 90.00
_cell_angle_beta 90.00
_cell_angle_gamma 90.00
_symmetry_space_group_name_H-M 'P m -3 m'
_symmetry_Int_Tables_number 221
_symmetry_space_group_name_Hall '-P 4 2 3'
loop_
_atom_site_label
_atom_site_type_symbol
_atom_site_fract_x
_atom_site_fract_y
_atom_site_fract_z
Mn1 Mn 0.000 0.000 0.000
Tl1 Tl 0.500 0.500 0.500
Pb1 Pb 0.000 0.000 0.500
```



First-principles (PBEsol) data for a relaxed BaIn2Te crystal, as listed in Alexandria via LeMat-Bulk.

Output
DFT total energy = -27.88 eV/cell
Fermi-level density of states = 4.0 states/eV per cell
Formation energy (no corrections) = -0.575 eV per atom

Cell and atoms, written as CIF:
```
data_BaIn2Te
_chemical_formula_sum 'Ba2 In4 Te2'
_cell_length_a 4.666
_cell_length_b 4.666
_cell_length_c 11.887
_cell_angle_alpha 90.00
_cell_angle_beta 90.00
_cell_angle_gamma 90.00
_symmetry_space_group_name_H-M 'I 4/m m m'
_symmetry_Int_Tables_number 139
_symmetry_space_group_name_Hall '-I 4 2'
loop_
_atom_site_label
_atom_site_type_symbol
_atom_site_fract_x
_atom_site_fract_y
_atom_site_fract_z
Ba1 Ba 0.000 0.000 0.000
In1 In 0.000 0.500 0.250
Te1 Te 0.000 0.000 0.500
```



First-principles (PBEsol) data for a relaxed NaNi3Mo crystal, as listed in Alexandria via LeMat-Bulk.

Output
Calculated formation energy = 1.17 eV/atom
DFT total energy = -25.80 eV/cell
Fermi-level density of states = 5.5 states/eV per cell

Cell and atoms, written as CIF:
```
data_NaNi3Mo
_chemical_formula_sum 'Na1 Ni3 Mo1'
_cell_length_a 4.492
_cell_length_b 4.492
_cell_length_c 4.492
_cell_angle_alpha 90.00
_cell_angle_beta 90.00
_cell_angle_gamma 90.00
_symmetry_space_group_name_H-M 'P m -3 m'
_symmetry_Int_Tables_number 221
_symmetry_space_group_name_Hall '-P 4 2 3'
loop_
_atom_site_label
_atom_site_type_symbol
_atom_site_fract_x
_atom_site_fract_y
_atom_site_fract_z
Na1 Na 0.000 0.000 0.000
Ni1 Ni 0.000 0.500 0.500
Mo1 Mo 0.500 0.500 0.500
```



First-principles (PBEsol) data for a relaxed LiRu2Br crystal, as listed in Alexandria via LeMat-Bulk.

Output
Energy above the most stable polymorph in this dataset = 0.334 eV/atom
DFT total energy = -21.86 eV/cell
Fermi-level density of states = 4.7 states/eV per cell
Formation energy (no corrections) = 0.581 eV per atom

Cell and atoms, written as CIF:
```
data_LiRu2Br
_chemical_formula_sum 'Li1 Ru2 Br1'
_cell_length_a 2.887
_cell_length_b 4.286
_cell_length_c 4.841
_cell_angle_alpha 90.00
_cell_angle_beta 90.00
_cell_angle_gamma 90.00
_symmetry_space_group_name_H-M 'P m m m'
_symmetry_Int_Tables_number 47
_symmetry_space_group_name_Hall '-P 2 2'
loop_
_atom_site_label
_atom_site_type_symbol
_atom_site_fract_x
_atom_site_fract_y
_atom_site_fract_z
Li1 Li 0.000 0.000 0.000
Ru1 Ru 0.000 0.500 0.500
Ru2 Ru 0.500 0.000 0.500
Br1 Br 0.500 0.500 0.000
```



What is the formula in the third record?
MnTlPb3



Please write out number 1 again, unchanged.
First-principles (PBEsol) data for a relaxed CoIr2Os crystal, as listed in Alexandria via LeMat-Bulk.

Output
Calculated formation energy = 0.02 eV/atom
Energy above the most stable polymorph in this dataset = 0.000 eV/atom
DFT total energy = -39.52 eV/cell
Fermi-level density of states = 4.0 states/eV per cell

Cell and atoms, written as CIF:
```
data_CoIr2Os
_chemical_formula_sum 'Co1 Ir2 Os1'
_cell_length_a 2.677
_cell_length_b 3.724
_cell_length_c 5.281
_cell_angle_alpha 90.00
_cell_angle_beta 90.00
_cell_angle_gamma 90.00
_symmetry_space_group_name_H-M 'P m m m'
_symmetry_Int_Tables_number 47
_symmetry_space_group_name_Hall '-P 2 2'
loop_
_atom_site_label
_atom_site_type_symbol
_atom_site_fract_x
_atom_site_fract_y
_atom_site_fract_z
Co1 Co 0.000 0.000 0.000
Ir1 Ir 0.500 0.500 0.244
Os1 Os 0.000 0.000 0.500
```



Look up the DFT total energy of the first one.
-39.52 eV/cell